# 1
Density functional theory data (PBE) for an optimized crystal structure of Cr2CdTe4.

Cell lengths 8.269, 8.269, 8.273 Å; angles 120.02, 120.06, 89.90 degrees
Last column: magnetic moment on the atom in μB.
Fractional coordinates of all 14 atoms:
Cr 0.625 0.375 0.750  3.07
Cr 0.625 0.875 0.250  3.07
Cr 0.625 0.375 0.250  3.07
Cr 0.125 0.375 0.750  3.07
Te 0.860 0.140 0.280  -0.13
Te 0.390 0.610 0.220  -0.13
Te 0.860 0.580 0.720  -0.13
Te 0.860 0.140 0.720  -0.13
Te 0.420 0.141 0.280  -0.13
Te 0.390 0.170 0.780  -0.13
Te 0.390 0.610 0.780  -0.13
Te 0.830 0.609 0.220  -0.13
Cd 0.250 0.750 0.500  0.00
Cd 0.000 0.000 0.000  0.00

## Properties
The calculation puts the raw formation energy at -0.27 eV/atom. The spin magnetization is 11.980 μB per cell. Its density of states at the Fermi level is 0.71 states/eV/f.u. As for the space group: I4_1/amd.

***

# 2
Density functional theory data (PBE) for an optimized crystal structure of CrCd3Te.

Cell lengths 5.314, 5.314, 5.314 Å; angles 90.00, 90.00, 90.00 degrees
Last column: magnetic moment on the atom in μB.
Fractional coordinates of all 5 atoms:
Cr 0.000 0.000 0.000  3.84
Te 0.500 0.500 0.500  -0.06
Cd 0.000 0.500 0.000  -0.01
Cd 0.000 0.000 0.500  0.00
Cd 0.500 0.000 0.000  0.02

## Properties
The calculation puts the raw formation energy at 0.59 eV/atom. For the offset from the most stable computed form, the calculation gives 0 meV/atom. The spin magnetization is 4.230 μB per cell. Its density of states at the Fermi level is 3.73 states/eV/f.u. As for the space group: Pm-3m.

***

# 3
Density functional theory data (PBE) for an optimized crystal structure of Cr4CdTe8.

Cell lengths 8.056, 8.056, 8.056 Å; angles 60.00, 60.00, 60.00 degrees
Last column: magnetic moment on the atom in μB.
Fractional coordinates of all 13 atoms:
Cr 0.895 0.368 0.368  2.94
Cr 0.368 0.895 0.368  2.94
Cr 0.368 0.368 0.895  2.94
Cr 0.368 0.368 0.368  2.94
Cd 0.750 0.750 0.750  0.01
Te 0.608 0.131 0.131  -0.21
Te 0.131 0.608 0.131  -0.21
Te 0.131 0.131 0.608  -0.21
Te 0.131 0.131 0.131  -0.21
Te 0.171 0.610 0.610  -0.17
Te 0.610 0.171 0.610  -0.17
Te 0.610 0.610 0.171  -0.17
Te 0.610 0.610 0.610  -0.17

## Properties
The calculation puts the raw formation energy at -0.22 eV/atom. The spin magnetization is 10.568 μB per cell. Its density of states at the Fermi level is 4.45 states/eV/f.u. As for the space group: F-43m.

***

# 4
Density functional theory data (PBE) for an optimized crystal structure of CrCd2Te.

Cell lengths 6.759, 6.759, 6.759 Å; angles 150.49, 139.89, 50.58 degrees
Last column: magnetic moment on the atom in μB.
Fractional coordinates of all 4 atoms:
Cd 0.015 0.015 0.000  -0.02
Cd 0.682 0.182 0.500  -0.02
Cr 0.486 0.486 0.000  3.37
Te 0.316 0.816 0.500  -0.12

## Properties
The calculation puts the raw formation energy at 0.18 eV/atom. The spin magnetization is 3.533 μB per cell. Its density of states at the Fermi level is 1.35 states/eV/f.u. As for the space group: Imm2.

***

# 5
Density functional theory data (PBE) for an optimized crystal structure of Cr2CdTe.

Cell lengths 3.558, 3.558, 6.450 Å; angles 90.00, 90.00, 90.00 degrees
Last column: magnetic moment on the atom in μB.
Fractional coordinates of all 4 atoms:
Cd 0.500 0.500 0.750  -0.02
Cr 0.000 0.000 0.000  3.75
Cr 0.000 0.000 0.500  3.75
Te 0.500 0.500 0.250  -0.14

## Properties
The calculation puts the raw formation energy at 0.41 eV/atom. For the offset from the most stable computed form, the calculation gives 104 meV/atom. The spin magnetization is 8.217 μB per cell. Its density of states at the Fermi level is 2.45 states/eV/f.u. As for the space group: P4/mmm.

***

# 6
Density functional theory data (PBE) for an optimized crystal structure of CrCdTe2.

Cell lengths 3.965, 5.262, 6.456 Å; angles 58.85, 90.00, 90.00 degrees
Last column: magnetic moment on the atom in μB.
Fractional coordinates of all 4 atoms:
Cd 0.500 0.250 0.250  -0.02
Cr 0.500 0.750 0.750  3.24
Te 0.000 0.925 0.931  -0.10
Te 0.000 0.575 0.569  -0.10

## Properties
The calculation puts the raw formation energy at 0.08 eV/atom. The spin magnetization is 3.317 μB per cell. Its density of states at the Fermi level is 1.75 states/eV/f.u. As for the space group: P2/m.

***

# 7
Density functional theory data (PBE) for an optimized crystal structure of CrCdTe2.

Cell lengths 12.375, 12.375, 12.375 Å; angles 15.20, 15.20, 15.20 degrees
Last column: magnetic moment on the atom in μB.
Fractional coordinates of all 4 atoms:
Cr 0.000 0.000 0.000  3.70
Te 0.073 0.073 0.073  -0.06
Te 0.927 0.927 0.927  -0.06
Cd 0.500 0.500 0.500  0.00

## Properties
The calculation puts the raw formation energy at 0.45 eV/atom. The spin magnetization is 4.137 μB per cell. Its density of states at the Fermi level is 2.91 states/eV/f.u. As for the space group: R-3m.

***

# 8
Density functional theory data (PBE) for an optimized crystal structure of CrCdTe2.

Cell lengths 4.191, 4.191, 5.952 Å; angles 90.00, 90.00, 90.00 degrees
Last column: magnetic moment on the atom in μB.
Fractional coordinates of all 4 atoms:
Cd 0.000 0.000 0.375  0.02
Cr 0.500 0.500 0.875  3.73
Te 0.000 0.000 0.875  -0.12
Te 0.500 0.500 0.375  -0.09

## Properties
The calculation puts the raw formation energy at -0.10 eV/atom. The spin magnetization is 3.902 μB per cell. Its density of states at the Fermi level is 1.38 states/eV/f.u. As for the space group: P4/mmm.

***

# 9
Density functional theory data (PBE) for an optimized crystal structure of Cr2CdTe.

Cell lengths 3.178, 3.178, 8.003 Å; angles 90.00, 90.00, 90.00 degrees
Last column: magnetic moment on the atom in μB.
Fractional coordinates of all 4 atoms:
Cd 0.500 0.500 0.822  -0.05
Cr 0.000 0.000 0.054  2.55
Cr 0.500 0.500 0.205  -2.37
Te 0.000 0.000 0.419  0.09

## Properties
The calculation puts the raw formation energy at 0.31 eV/atom. For the offset from the most stable computed form, the calculation gives 0 meV/atom. The spin magnetization is 0.180 μB per cell. Its density of states at the Fermi level is 3.80 states/eV/f.u. As for the space group: P4mm.

***

# 10
Density functional theory data (PBE) for an optimized crystal structure of CrCdTe2.

Cell lengths 3.197, 3.197, 9.627 Å; angles 90.00, 90.00, 90.00 degrees
Fractional coordinates of all 4 atoms:
Cd 0.500 0.500 0.250
Cr 0.500 0.500 0.750
Te 0.000 0.000 0.919
Te 0.000 0.000 0.581

## Properties
The calculation puts the raw formation energy at 0.17 eV/atom. The spin magnetization is 0.000 μB per cell. Its density of states at the Fermi level is 2.16 states/eV/f.u. As for the space group: P4/mmm.

***

# 11
Density functional theory data (PBE) for an optimized crystal structure of Cr2CdTe.

Cell lengths 4.865, 4.865, 4.865 Å; angles 60.00, 60.00, 60.00 degrees
Last column: magnetic moment on the atom in μB.
Fractional coordinates of all 4 atoms:
Cd 0.500 0.500 0.500  -0.03
Cr 0.000 0.000 0.000  -3.53
Cr 0.750 0.750 0.750  3.66
Te 0.250 0.250 0.250  0.02

## Properties
The calculation puts the raw formation energy at 0.54 eV/atom. For the offset from the most stable computed form, the calculation gives 234 meV/atom. The spin magnetization is 0.126 μB per cell. Its density of states at the Fermi level is 1.99 states/eV/f.u. As for the space group: F-43m.

***

# 12
Density functional theory data (PBE) for an optimized crystal structure of CrCd2Te.

Cell lengths 3.354, 3.354, 8.329 Å; angles 90.00, 90.00, 90.00 degrees
Last column: magnetic moment on the atom in μB.
Fractional coordinates of all 4 atoms:
Cd 0.000 0.000 0.031  -0.03
Cd 0.500 0.500 0.280  -0.05
Cr 0.000 0.000 0.511  3.09
Te 0.500 0.500 0.678  -0.21

## Properties
The calculation puts the raw formation energy at 0.20 eV/atom. The spin magnetization is 2.930 μB per cell. Its density of states at the Fermi level is 2.29 states/eV/f.u. As for the space group: P4mm.

***

# 13
Density functional theory data (PBE) for an optimized crystal structure of CrCd3Te4.

Cell lengths 6.524, 6.524, 6.524 Å; angles 90.00, 90.00, 90.00 degrees
Last column: magnetic moment on the atom in μB.
Fractional coordinates of all 8 atoms:
Cr 0.000 0.000 0.000  3.61
Cd 0.500 0.500 0.000  0.02
Cd 0.500 0.000 0.500  0.02
Cd 0.000 0.500 0.500  0.02
Te 0.760 0.760 0.240  -0.05
Te 0.760 0.240 0.760  -0.05
Te 0.240 0.760 0.760  -0.05
Te 0.240 0.240 0.240  -0.05

## Properties
The calculation puts the raw formation energy at -0.28 eV/atom. The spin magnetization is 4.000 μB per cell. Its density of states at the Fermi level is 4.63 states/eV/f.u. As for the space group: P-43m.

***

# 14
Density functional theory data (PBE) for an optimized crystal structure of CrCdTe2.

Cell lengths 7.675, 7.675, 7.675 Å; angles 149.47, 149.47, 43.73 degrees
Last column: magnetic moment on the atom in μB.
Fractional coordinates of all 4 atoms:
Cd 0.500 0.500 0.000  0.00
Cr 0.750 0.250 0.500  3.81
Te 0.000 0.000 0.000  -0.07
Te 0.250 0.750 0.500  -0.23

## Properties
The calculation puts the raw formation energy at 0.19 eV/atom. The spin magnetization is 3.816 μB per cell. Its density of states at the Fermi level is 2.38 states/eV/f.u. As for the space group: I-4m2.